Material: UZnCd
Method: DFT, PBE-GGA
State: optimized geometry

Cell lengths 2.9264, 2.9264, 8.0563 Å; angles 90.00, 90.00, 120.00 degrees
Last column: magnetic moment on the atom in μB.
Fractional coordinates of all 3 atoms:
1 U 0.0000 0.0000 0.0123  1.41
2 Cd 0.3333 0.6667 0.6494  -0.01
3 Zn 0.6667 0.3333 0.3383  -0.01

The calculation puts the total moment at 1.4 μB per cell. The value obtained for the electronic total energy is -13.130 eV per cell.

---

Material: Na2Cd2Bi
Method: DFT, PBE-GGA
State: optimized geometry

Cell lengths 4.0703, 4.0703, 9.4926 Å; angles 77.62, 77.62, 90.00 degrees
Fractional coordinates of all 5 atoms:
1 Cd 0.7500 0.2500 0.5000
2 Na 0.4026 0.4026 0.1948
3 Bi 0.0000 0.0000 0.0000
4 Cd 0.2500 0.7500 0.5000
5 Na 0.5974 0.5974 0.8052

The calculation puts the total moment at 0.0 μB per cell. The value obtained for the electronic total energy is -8.685 eV per cell.

---

Material: Th4Ga2Se5
Method: DFT, PBE-GGA
State: optimized geometry

Cell lengths 4.2140, 7.7382, 12.2369 Å; angles 93.58, 99.91, 90.00 degrees
Fractional coordinates of all 11 atoms:
1 Th 0.9675 0.2552 0.9350
2 Ga 0.4509 0.5348 0.9019
3 Se 0.7943 0.6728 0.5887
4 Se 0.1509 0.8097 0.3018
5 Se 0.2057 0.3272 0.4113
6 Th 0.0325 0.7448 0.0650
7 Se 0.5000 0.0000 0.0000
8 Ga 0.5491 0.4652 0.0981
9 Se 0.8491 0.1903 0.6982
10 Th 0.3243 0.4350 0.6485
11 Th 0.6757 0.5650 0.3515

The calculation puts the total moment at 0.0 μB per cell. The uncorrected formation energy comes out at -12.33 eV/f.u. The value obtained for the electronic total energy is -65.486 eV per cell.

---

Material: YSb2RhPb
Method: DFT, PBE-GGA
State: optimized geometry

Cell lengths 5.6263, 5.6897, 5.6263 Å; angles 90.00, 90.00, 90.00 degrees
Last column: magnetic moment on the atom in μB.
Fractional coordinates of all 5 atoms:
1 Sb 0.5000 0.0000 0.0000  0.01
2 Rh 0.5000 0.5000 0.5000  0.92
3 Pb 0.0000 0.0000 0.0000  0.00
4 Sb 0.0000 0.0000 0.5000  0.01
5 Y 0.0000 0.5000 0.0000  -0.01

The calculation puts the total moment at 1.0 μB per cell. The uncorrected formation energy comes out at 5.93 eV/f.u. The value obtained for the electronic total energy is -19.841 eV per cell.

---

Material: Zr3AgN
Method: DFT, PBE-GGA
State: optimized geometry

Cell lengths 5.1151, 5.1151, 5.1151 Å; angles 90.00, 90.00, 90.00 degrees
Last column: magnetic moment on the atom in μB.
Fractional coordinates of all 5 atoms:
1 Ag 0.0000 0.0000 0.0000  0.04
2 Zr 0.0000 0.5000 0.0000  0.42
3 Zr 0.0000 0.0000 0.5000  0.40
4 Zr 0.5000 0.0000 0.0000  0.62
5 N 0.5000 0.5000 0.5000  -0.36

The calculation puts the total moment at 2.0 μB per cell. The uncorrected formation energy comes out at 9.63 eV/f.u. The value obtained for the electronic total energy is -27.189 eV per cell.

---

Material: Co2CBr
Method: DFT, PBE-GGA
State: optimized geometry

Cell lengths 4.0352, 4.0352, 4.0352 Å; angles 60.00, 60.00, 60.00 degrees
Last column: magnetic moment on the atom in μB.
Fractional coordinates of all 4 atoms:
1 C 0.0000 0.0000 0.0000  -0.08
2 Co 0.7500 0.7500 0.7500  1.14
3 Br 0.5000 0.5000 0.5000  0.03
4 Co 0.2500 0.2500 0.2500  1.14

The calculation puts the total moment at 2.1 μB per cell. The uncorrected formation energy comes out at 5.91 eV/f.u. The value obtained for the electronic total energy is -19.201 eV per cell.

---

Material: K3Cd3Hg8
Method: DFT, PBE-GGA
State: optimized geometry

Cell lengths 5.3088, 9.5580, 9.5580 Å; angles 64.64, 73.88, 73.88 degrees
Fractional coordinates of all 14 atoms:
1 Hg 0.3556 0.3428 0.9461
2 Cd 0.0000 0.8428 0.1572
3 Cd 0.5000 0.0000 0.0000
4 Hg 0.3556 0.9461 0.3428
5 K 0.7814 0.2186 0.2186
6 Cd 0.0000 0.1572 0.8428
7 Hg 0.8484 0.8004 0.5029
8 Hg 0.6444 0.0539 0.6572
9 Hg 0.1516 0.1996 0.4971
10 Hg 0.6444 0.6572 0.0539
11 K 0.2186 0.7814 0.7814
12 Hg 0.1516 0.4971 0.1996
13 K 0.5000 0.5000 0.5000
14 Hg 0.8484 0.5029 0.8004

The calculation puts the total moment at 0.0 μB per cell. The value obtained for the electronic total energy is -11.133 eV per cell.

---

Material: TmTlPd2
Method: DFT, PBE-GGA
State: optimized geometry

Cell lengths 4.8045, 4.8045, 4.8045 Å; angles 60.00, 60.00, 60.00 degrees
Fractional coordinates of all 4 atoms:
1 Pd 0.7500 0.7500 0.7500
2 Tl 0.5000 0.5000 0.5000
3 Pd 0.2500 0.2500 0.2500
4 Tm 0.0000 0.0000 0.0000

The calculation puts the total moment at 0.0 μB per cell. The value obtained for the electronic total energy is -19.893 eV per cell.